DFT (GGA-PBE) results for a geometry-optimized SrMnRh structure.

It has space group P6_3/mmc (No. 194), with a = 5.3353 Å, b = 5.3353 Å, c = 8.7925 Å, α = 90.00°, β = 90.00° and γ = 120.00°. The asymmetric unit holds Sr at (0.3333, 0.6667, 0.2500), Mn at (0.0000, 0.0000, 0.2500) and Rh at (0.0000, 0.0000, 0.0000).

For the formation energy, the calculation gives 0.999 eV/atom. The offset from the most stable computed form is 1103.1 meV per atom.

DFT (GGA-PBE) results for a geometry-optimized SrMn2Rh structure.

It has space group I4_1/amd (No. 141, origin choice 2), with a = 4.456 Å, b = 4.456 Å, c = 17.094 Å, α = 90.00°, β = 90.00° and γ = 90.00°. The asymmetric unit holds Sr at (0.000, 0.250, 0.375), Mn at (0.000, 0.000, 0.000) and Rh at (0.000, 0.250, 0.875).

For the formation energy, the calculation gives 0.790 eV/atom.

DFT (GGA-PBE) results for a geometry-optimized Sr2MnRh structure.

It has space group Pmmm (No. 47), with a = 3.650 Å, b = 3.767 Å, c = 7.852 Å, α = 90.00°, β = 90.00° and γ = 90.00°. The asymmetric unit holds Sr at (0.000, 0.000, 0.222), Mn at (0.500, 0.500, 0.500) and Rh at (0.500, 0.500, 0.000).

For the formation energy, the calculation gives 0.283 eV/atom. The offset from the most stable computed form is 268.1 meV per atom.

DFT (GGA-PBE) results for a geometry-optimized SrMn3Rh structure.

It has space group Pm-3m (No. 221), with a = 4.922 Å, b = 4.922 Å, c = 4.922 Å, α = 90.00°, β = 90.00° and γ = 90.00°. The asymmetric unit holds Sr at (0.000, 0.000, 0.000), Mn at (0.000, 0.500, 0.500) and Rh at (0.500, 0.500, 0.500).

For the formation energy, the calculation gives 0.492 eV/atom. The offset from the most stable computed form is 0.0 meV per atom.

DFT (GGA-PBE) results for a geometry-optimized SrMnRh structure.

It has space group Cmcm (No. 63), with a = 4.277 Å, b = 11.200 Å, c = 5.043 Å, α = 90.00°, β = 90.00° and γ = 90.00°. The asymmetric unit holds Sr at (0.000, 0.217, 0.250), Mn at (0.000, 0.500, 0.000) and Rh at (0.000, 0.045, 0.750).

For the formation energy, the calculation gives 0.201 eV/atom. The offset from the most stable computed form is 304.4 meV per atom.

DFT (GGA-PBE) results for a geometry-optimized SrMnRh structure.

It has space group P4/nmm (No. 129, origin choice 2), with a = 4.237 Å, b = 4.237 Å, c = 7.674 Å, α = 90.00°, β = 90.00° and γ = 90.00°. The asymmetric unit holds Sr at (0.250, 0.250, 0.166), Mn at (0.250, 0.750, 0.500) and Rh at (0.250, 0.250, 0.696).

For the formation energy, the calculation gives -0.104 eV/atom. The offset from the most stable computed form is 0.0 meV per atom.

DFT (GGA-PBE) results for a geometry-optimized SrMnRh3 structure.

It has space group Pm-3m (No. 221), with a = 4.578 Å, b = 4.578 Å, c = 4.578 Å, α = 90.00°, β = 90.00° and γ = 90.00°. The asymmetric unit holds Sr at (0.000, 0.000, 0.000), Mn at (0.500, 0.500, 0.500) and Rh at (0.000, 0.500, 0.500).

For the formation energy, the calculation gives 0.285 eV/atom. The offset from the most stable computed form is 0.0 meV per atom.

DFT (GGA-PBE) results for a geometry-optimized Sr2MnRh structure.

It has space group Imm2 (No. 44), with a = 3.965 Å, b = 4.894 Å, c = 11.859 Å, α = 90.00°, β = 90.00° and γ = 90.00°. The asymmetric unit holds Sr at (0.000, 0.000, 0.000), Sr at (0.000, 0.500, 0.229), Mn at (0.000, 0.500, 0.805) and Rh at (0.000, 0.000, 0.428).

For the formation energy, the calculation gives 0.100 eV/atom. The offset from the most stable computed form is 86.0 meV per atom.

DFT (GGA-PBE) results for a geometry-optimized SrMnRh structure.

It has space group C2/m (No. 12), with a = 11.407 Å, b = 4.223 Å, c = 7.441 Å, α = 90.00°, β = 127.68° and γ = 90.00°. The asymmetric unit holds Sr at (0.071, 0.000, 0.310), Mn at (0.217, 0.500, 0.092) and Rh at (0.141, 0.500, 0.691).

For the formation energy, the calculation gives -0.048 eV/atom. The offset from the most stable computed form is 55.3 meV per atom.

DFT (GGA-PBE) results for a geometry-optimized SrMnRh structure.

It has space group P-6m2 (No. 187), with a = 4.2482 Å, b = 4.2482 Å, c = 4.6922 Å, α = 90.00°, β = 90.00° and γ = 120.00°. The asymmetric unit holds Sr at (0.0000, 0.0000, 0.0000), Mn at (0.6667, 0.3333, 0.5000) and Rh at (0.3333, 0.6667, 0.5000).

For the formation energy, the calculation gives 0.042 eV/atom. The offset from the most stable computed form is 145.4 meV per atom.

DFT (GGA-PBE) results for a geometry-optimized SrMnRh structure.

It has space group C2/m (No. 12), with a = 20.076 Å, b = 4.484 Å, c = 7.075 Å, α = 90.00°, β = 93.57° and γ = 90.00°. The asymmetric unit holds Sr at (0.086, 0.000, 0.306), Sr at (0.101, 0.500, 0.828), Mn at (0.203, 0.500, 0.206), Mn at (0.241, 0.500, 0.620), Rh at (0.179, 0.000, 0.645) and Rh at (0.202, 0.000, 0.035).

For the formation energy, the calculation gives 0.039 eV/atom. The offset from the most stable computed form is 142.5 meV per atom.

DFT (GGA-PBE) results for a geometry-optimized SrMnRh structure.

It has space group F-43m (No. 216), with a = 6.654 Å, b = 6.654 Å, c = 6.654 Å, α = 90.00°, β = 90.00° and γ = 90.00°. The asymmetric unit holds Sr at (0.000, 0.000, 0.000), Mn at (0.000, 0.000, 0.500) and Rh at (0.250, 0.250, 0.250).

For the formation energy, the calculation gives 0.307 eV/atom. The offset from the most stable computed form is 411.1 meV per atom.